No. 1
VASP calculation (PBE) on a relaxed Sm2Dy4HoMg crystal.

## Properties
For the size of the total moment, the calculation gives 0.00 μB/f.u. The energy of formation from the pure elements comes out at 25.0 meV/atom.

a = 4.961 Å, b = 4.973 Å, c = 11.232 Å
α = 63.69°, β = 90.00°, γ = 90.00°
Fractional coordinates of all 8 atoms:
Sm  0.000  0.000  0.000
Sm  0.500  0.000  0.500
Dy  0.000  0.749  0.751
Dy  0.000  0.251  0.249
Dy  0.500  0.751  0.249
Dy  0.500  0.249  0.751
Ho  0.000  0.500  0.500
Mg  0.500  0.500  0.000

***

No. 2
VASP calculation (PBE) on a relaxed PrNiGe crystal.

## Properties
For the size of the total moment, the calculation gives 0.00 μB/f.u. The energy of formation from the pure elements comes out at -673.8 meV/atom.

a = 4.260 Å, b = 4.260 Å, c = 6.788 Å
α = 90.00°, β = 90.04°, γ = 90.00°
Fractional coordinates of all 6 atoms:
Pr  0.250  0.250  0.808
Pr  0.750  0.750  0.192
Ge  0.250  0.250  0.312
Ge  0.750  0.750  0.688
Ni  0.750  0.250  0.500
Ni  0.250  0.750  0.500